Computed, not measured: crystalline Tl2FeAg at its relaxed geometry at the PBE-GGA level of DFT.

a b c (Å): 4.6085 4.6130 3.9152
angles (deg): 90.00 90.00 90.00
Closest atoms and distances in Å follow each position.
Positions (direct):
Ag 0.5000 0.0000 0.5000  8 Tl 3.02-3.03, 4 Fe 3.26
Fe 0.0000 0.5000 0.5000  8 Tl 3.02-3.03, 4 Ag 3.26
Tl 0.0000 0.0000 0.0000  4 Ag 3.02, 4 Fe 3.03, 4 Tl 3.26
Tl 0.5000 0.5000 0.0000  4 Fe 3.02, 4 Ag 3.03, 4 Tl 3.26

Summary:
Formation energy: 0.50 eV per atom
E: -0.1291 Ha/atom
SG: No. 123
Relative energy among the computed polymorphs: 0.0891 eV/atom
Mass density: 11.4 g cm⁻³
Magnetization: 0.717 μB per atom
V: 83.2 Å³ per cell